Version a
The following is a PBE calculation of OsRuN2F after structural relaxation, from Alexandria.

Summary:
For the density of states at the Fermi level, the calculation gives 4.99 states/eV/cell.

Cell lengths 3.894, 3.894, 3.989 Å; angles 90.00, 90.00, 90.00 degrees
Atoms (fractional coordinates):
Os (0.000, 0.000, 0.000)
Ru (0.500, 0.500, 0.500)
N (0.000, 0.500, 0.500)
N (0.500, 0.000, 0.500)
F (0.500, 0.500, 0.000)

Version b
The following is a PBE calculation of OsRuN2F after structural relaxation, from Alexandria.

Summary:
For the density of states at the Fermi level, the calculation gives 4.54 states/eV/cell.

Cell lengths 3.849, 3.849, 4.230 Å; angles 90.00, 90.00, 90.00 degrees
Atoms (fractional coordinates):
Os (0.000, 0.000, 0.000)
Ru (0.500, 0.500, 0.500)
N (0.000, 0.500, 0.000)
N (0.500, 0.000, 0.000)
F (0.000, 0.000, 0.500)

Relative energies, in meV per atom, with the most stable structure set to zero: version a 453; version b 0.

Version a
The following is a PBE calculation of OsSNF2 after structural relaxation, from Alexandria.

Summary:
For the density of states at the Fermi level, the calculation gives 4.11 states/eV/cell.

Cell lengths 4.767, 4.767, 3.200 Å; angles 90.00, 90.00, 90.00 degrees
Atoms (fractional coordinates):
Os (0.000, 0.000, 0.000)
S (0.500, 0.500, 0.500)
N (0.500, 0.500, 0.000)
F (0.000, 0.500, 0.500)
F (0.500, 0.000, 0.500)

Version b
The following is a PBE calculation of OsSNF2 after structural relaxation, from Alexandria.

Summary:
For the density of states at the Fermi level, the calculation gives 3.64 states/eV/cell.

Cell lengths 4.248, 4.248, 3.757 Å; angles 90.00, 90.00, 90.00 degrees
Atoms (fractional coordinates):
Os (0.000, 0.000, 0.000)
S (0.500, 0.500, 0.500)
N (0.000, 0.000, 0.500)
F (0.000, 0.500, 0.000)
F (0.500, 0.000, 0.000)

Relative energies, in meV per atom, with the most stable structure set to zero: version a 882; version b 0.

Version a
The following is a PBE calculation of OsS2NF after structural relaxation, from Alexandria.

Summary:
For the density of states at the Fermi level, the calculation gives 5.77 states/eV/cell.

Cell lengths 4.237, 4.237, 3.651 Å; angles 90.00, 90.00, 90.00 degrees
Atoms (fractional coordinates):
Os (0.000, 0.000, 0.000)
S (0.000, 0.500, 0.500)
S (0.500, 0.000, 0.500)
N (0.500, 0.500, 0.000)
F (0.500, 0.500, 0.500)

Version b
The following is a PBE calculation of OsS2NF after structural relaxation, from Alexandria.

Summary:
For the density of states at the Fermi level, the calculation gives 5.95 states/eV/cell.

Cell lengths 4.672, 4.672, 3.705 Å; angles 90.00, 90.00, 90.00 degrees
Atoms (fractional coordinates):
Os (0.000, 0.000, 0.000)
S (0.000, 0.500, 0.000)
S (0.500, 0.000, 0.000)
N (0.000, 0.000, 0.500)
F (0.500, 0.500, 0.500)

Relative energies, in meV per atom, with the most stable structure set to zero: version a 1547; version b 0.

Version a
The following is a PBE calculation of SbOsNF2 after structural relaxation, from Alexandria.

Summary:
For the density of states at the Fermi level, the calculation gives 4.66 states/eV/cell.

Cell lengths 4.326, 4.326, 4.356 Å; angles 90.00, 90.00, 90.00 degrees
Atoms (fractional coordinates):
Sb (0.000, 0.000, 0.000)
Os (0.500, 0.500, 0.500)
N (0.000, 0.000, 0.500)
F (0.000, 0.500, 0.000)
F (0.500, 0.000, 0.000)

Version b
The following is a PBE calculation of SbOsNF2 after structural relaxation, from Alexandria.

Summary:
For the density of states at the Fermi level, the calculation gives 2.99 states/eV/cell.

Cell lengths 4.434, 4.434, 3.755 Å; angles 90.00, 90.00, 90.00 degrees
Atoms (fractional coordinates):
Sb (0.000, 0.000, 0.000)
Os (0.500, 0.500, 0.500)
N (0.500, 0.500, 0.000)
F (0.000, 0.500, 0.500)
F (0.500, 0.000, 0.500)

Relative energies, in meV per atom, with the most stable structure set to zero: version a 804; version b 0.